[1]
Tb2HoTm5Mg: optimized geometry, PBE. Values from VASP.

```
&SYSTEM
  ibrav = 0, nat = 18, ntyp = 4
/
ATOMIC_SPECIES
Mg 24.30 Mg.upf
Tm 168.93 Tm.upf
Tb 158.93 Tb.upf
Ho 164.93 Ho.upf
CELL_PARAMETERS angstrom
5.347 0.000 0.000
-2.673 9.992 0.000
0.000 0.000 10.294
ATOMIC_POSITIONS crystal
Mg 0.595 0.191 0.008
Mg 0.405 0.809 0.508
Tm 0.987 0.975 0.508
Tm 0.500 0.000 0.758
Tm 0.383 0.766 0.008
Tm 0.013 0.025 0.008
Tm 0.289 0.578 0.309
Tm 0.711 0.422 0.809
Tm 0.500 0.000 0.258
Tm 0.289 0.578 0.708
Tm 0.711 0.422 0.208
Tm 0.617 0.234 0.508
Tb 0.885 0.770 0.795
Tb 0.885 0.770 0.221
Tb 0.115 0.230 0.295
Tb 0.115 0.230 0.721
Ho 0.794 0.587 0.508
Ho 0.206 0.413 0.008
```

Output
formation energy from the elements: 0.11 eV/atom
final energy: -4.090 eV/atom

[2]
Tb2HoTm2Mg5: optimized geometry, PBE. Values from VASP.

```
&SYSTEM
  ibrav = 0, nat = 20, ntyp = 4
/
ATOMIC_SPECIES
Mg 24.30 Mg.upf
Tm 168.93 Tm.upf
Tb 158.93 Tb.upf
Ho 164.93 Ho.upf
CELL_PARAMETERS angstrom
-1.215 -4.156 -2.578
8.305 -4.983 4.116
-5.944 -3.257 8.051
ATOMIC_POSITIONS crystal
Mg 0.500 0.500 0.000
Mg 0.500 0.698 0.429
Mg 0.500 0.429 0.302
Mg 0.500 0.802 0.929
Mg 0.500 0.000 0.500
Mg 0.500 0.198 0.071
Mg 0.500 0.571 0.698
Mg 0.500 0.302 0.571
Mg 0.500 0.071 0.802
Mg 0.500 0.929 0.198
Tm 0.000 0.618 0.882
Tm 0.000 0.118 0.618
Tm 0.000 0.382 0.118
Tm 0.000 0.882 0.382
Tb 0.000 0.322 0.822
Tb 0.000 0.678 0.178
Tb 0.000 0.822 0.678
Tb 0.000 0.178 0.322
Ho 0.000 0.500 0.500
Ho 0.000 0.000 0.000
```

Output
formation energy from the elements: 0.07 eV/atom
final energy: -3.005 eV/atom

[3]
Tb2Ho2TmMg5: optimized geometry, PBE. Values from VASP.

```
&SYSTEM
  ibrav = 0, nat = 20, ntyp = 4
/
ATOMIC_SPECIES
Mg 24.30 Mg.upf
Ho 164.93 Ho.upf
Tb 158.93 Tb.upf
Tm 168.93 Tm.upf
CELL_PARAMETERS angstrom
5.041 0.000 0.000
0.000 10.529 0.000
0.000 0.000 10.529
ATOMIC_POSITIONS crystal
Mg 0.500 0.000 0.500
Mg 0.500 0.569 0.697
Mg 0.500 0.431 0.303
Mg 0.500 0.697 0.431
Mg 0.500 0.303 0.569
Mg 0.500 0.931 0.197
Mg 0.500 0.069 0.803
Mg 0.500 0.500 0.000
Mg 0.500 0.803 0.931
Mg 0.500 0.197 0.069
Ho 0.000 0.881 0.381
Ho 0.000 0.381 0.119
Ho 0.000 0.619 0.881
Ho 0.000 0.119 0.619
Tb 0.000 0.322 0.822
Tb 0.000 0.822 0.678
Tb 0.000 0.178 0.322
Tb 0.000 0.678 0.178
Tm 0.000 0.000 0.000
Tm 0.000 0.500 0.500
```

Output
formation energy from the elements: 0.08 eV/atom
final energy: -3.011 eV/atom

[4]
Tb4HoTm2Mg: optimized geometry, PBE. Values from VASP.

```
&SYSTEM
  ibrav = 0, nat = 8, ntyp = 4
/
ATOMIC_SPECIES
Tb 158.93 Tb.upf
Tm 168.93 Tm.upf
Mg 24.30 Mg.upf
Ho 164.93 Ho.upf
CELL_PARAMETERS angstrom
4.958 0.000 0.000
0.000 4.837 1.117
0.000 2.627 10.706
ATOMIC_POSITIONS crystal
Tb 0.500 0.752 0.247
Tb 0.000 0.253 0.247
Tb 0.000 0.747 0.753
Tb 0.500 0.248 0.753
Tm 0.500 0.000 0.500
Tm 0.000 0.000 0.000
Mg 0.500 0.500 0.000
Ho 0.000 0.500 0.500
```

Output
formation energy from the elements: 0.02 eV/atom
final energy: -4.188 eV/atom